No. 1
KTaSbI2 after structural relaxation, computed with GGA-PBE.

Lattice parameters (Å, degrees): 6.126 6.126 6.346 90.00 90.00 90.00
Positions (direct):
I  0.000  0.500  0.000
I  0.500  0.000  0.000
Sb  0.000  0.000  0.500
K  0.000  0.000  0.000
Ta  0.500  0.500  0.500

Calculated values
The volume comes out at 238.2 Å³ per cell. As for the density of states at the Fermi level: 7.2 states/eV/f.u. For the density, the calculation gives 4.15 g/cm3. The uncorrected formation energy comes out at 1.438 eV/atom.


No. 2
Re3IrOs after structural relaxation, computed with GGA-PBE.

Lattice parameters (Å, degrees): 2.737 9.153 8.455 90.62 99.30 53.26
Positions (direct):
Re  0.180  0.182  0.687
Re  0.335  0.036  0.409
Re  0.281  0.687  0.906
Re  0.335  0.219  0.142
Re  0.180  0.999  0.953
Re  0.234  0.531  0.190
Ir  0.387  0.379  0.886
Ir  0.128  0.839  0.209
Os  0.236  0.339  0.427
Os  0.279  0.879  0.668

Calculated values
As for the formation energy: 0.27 eV per atom. The volume comes out at 166.5 Å³ per cell. As for the density of states at the Fermi level: 3.9 states/eV/f.u. For the density, the calculation gives 18.77 g/cm3.


No. 3
CrInSb after structural relaxation, computed with GGA-PBE.

Lattice parameters (Å, degrees): 6.735 6.737 3.273 75.91 75.97 28.12
Positions (direct):
Cr  0.003  0.003  0.997
In  0.359  0.359  0.641
Sb  0.638  0.638  0.362

Calculated values
The volume comes out at 67.8 Å³ per cell. As for the density of states at the Fermi level: 2.9 states/eV/f.u. For the density, the calculation gives 7.07 g/cm3. The uncorrected formation energy comes out at 0.306 eV/atom.


No. 4
Tm3Th13 after structural relaxation, computed with GGA-PBE.

Lattice parameters (Å, degrees): 7.100 8.513 8.513 92.46 90.00 90.00
Positions (direct):
Tm  0.752  0.043  0.957
Tm  0.000  0.294  0.706
Tm  0.248  0.043  0.957
Th  0.750  0.959  0.545
Th  0.748  0.544  0.456
Th  0.750  0.455  0.041
Th  0.000  0.708  0.793
Th  0.000  0.207  0.292
Th  0.000  0.790  0.210
Th  0.250  0.959  0.545
Th  0.252  0.544  0.456
Th  0.250  0.455  0.041
Th  0.500  0.297  0.703
Th  0.500  0.712  0.797
Th  0.500  0.203  0.288
Th  0.500  0.788  0.212

Calculated values
As for the formation energy: 0.05 eV per atom. The volume comes out at 514.1 Å³ per cell. As for the density of states at the Fermi level: 22.0 states/eV/f.u. For the density, the calculation gives 11.38 g/cm3.


No. 5
Na2LiTiH after structural relaxation, computed with GGA-PBE.

Lattice parameters (Å, degrees): 5.736 3.395 5.736 90.00 90.00 90.00
Positions (direct):
Na  0.000  0.000  0.500
Na  0.500  0.000  0.000
Li  0.000  0.500  0.000
H  0.000  0.000  0.000
Ti  0.500  0.500  0.500

Calculated values
The value obtained for the total energy is -13.201 eV/f.u. The volume comes out at 111.7 Å³ per cell. As for the density of states at the Fermi level: 4.8 states/eV/f.u. For the density, the calculation gives 1.51 g/cm3.


No. 6
CaTcRhO6 after structural relaxation, computed with GGA-PBE.

Lattice parameters (Å, degrees): 5.269 5.269 9.828 90.00 90.00 120.00
Positions (direct):
Ca  0.000  0.000  0.000
Ca  0.000  0.000  0.500
Tc  0.333  0.667  0.250
Tc  0.667  0.333  0.750
Rh  0.667  0.333  0.250
Rh  0.333  0.667  0.750
O  0.620  0.632  0.143
O  0.012  0.380  0.143
O  0.380  0.012  0.643
O  0.988  0.620  0.857
O  0.368  0.380  0.357
O  0.012  0.632  0.357
O  0.632  0.012  0.857
O  0.620  0.988  0.357
O  0.988  0.368  0.643
O  0.368  0.988  0.143
O  0.632  0.620  0.643
O  0.380  0.368  0.857

Calculated values
The volume comes out at 236.3 Å³ per cell. For the density, the calculation gives 4.74 g/cm3. The uncorrected formation energy comes out at -1.541 eV/atom.


No. 7
Pm3Zn4Ag7 after structural relaxation, computed with GGA-PBE.

Lattice parameters (Å, degrees): 4.522 8.467 8.625 67.20 74.80 74.51
Positions (direct):
Pm  0.306  0.200  0.187
Pm  0.694  0.800  0.813
Pm  0.000  0.500  0.500
Zn  0.667  0.465  0.201
Zn  0.333  0.535  0.799
Zn  0.874  0.912  0.340
Zn  0.126  0.088  0.660
Ag  0.322  0.823  0.532
Ag  0.500  0.207  0.792
Ag  0.861  0.368  0.910
Ag  0.678  0.177  0.468
Ag  0.139  0.632  0.090
Ag  0.000  0.000  0.000
Ag  0.500  0.793  0.208

Calculated values
As for the formation energy: -0.25 eV per atom. The volume comes out at 288.6 Å³ per cell. As for the density of states at the Fermi level: 8.1 states/eV/f.u. For the density, the calculation gives 8.35 g/cm3.


No. 8
Ac6OsN after structural relaxation, computed with GGA-PBE.

Lattice parameters (Å, degrees): 7.153 7.046 7.046 59.94 90.12 89.88
Positions (direct):
Ac  0.728  0.715  0.327
Ac  0.272  0.327  0.715
Ac  0.274  0.021  0.326
Ac  0.274  0.715  0.021
Ac  0.726  0.021  0.715
Ac  0.726  0.326  0.021
Os  0.000  0.021  0.021
N  0.500  0.021  0.021

Calculated values
The volume comes out at 307.3 Å³ per cell. As for the density of states at the Fermi level: 11.1 states/eV/f.u. For the density, the calculation gives 8.46 g/cm3. The uncorrected formation energy comes out at -0.190 eV/atom.


No. 9
CrFeOs2 after structural relaxation, computed with GGA-PBE.

Lattice parameters (Å, degrees): 4.000 2.666 4.960 74.43 90.00 90.00
Positions (direct):
Cr  0.000  0.682  0.510
Os  0.000  0.950  0.975
Os  0.500  0.301  0.273
Fe  0.500  0.567  0.741

Calculated values
As for the formation energy: 0.06 eV per atom. The volume comes out at 51.0 Å³ per cell. As for the density of states at the Fermi level: 3.1 states/eV/f.u. For the density, the calculation gives 15.91 g/cm3.


No. 10
TaBRu2Pt after structural relaxation, computed with GGA-PBE.

Lattice parameters (Å, degrees): 4.734 4.812 4.734 90.00 90.00 90.00
Positions (direct):
Ru  0.000  0.000  0.500
Ru  0.500  0.000  0.000
B  0.500  0.500  0.500
Pt  0.000  0.000  0.000
Ta  0.000  0.500  0.000

Calculated values
As for the formation energy: 2.49 eV per atom. The volume comes out at 107.9 Å³ per cell. As for the density of states at the Fermi level: 7.9 states/eV/f.u. For the density, the calculation gives 9.07 g/cm3.


No. 11
ThUGe after structural relaxation, computed with GGA-PBE.

Lattice parameters (Å, degrees): 5.188 3.831 10.564 80.43 75.79 47.38
Positions (direct):
Ge  0.750  0.500  0.500
Ge  0.250  0.500  0.500
U  0.770  0.459  0.000
U  0.230  0.541  0.000
Th  0.629  0.000  0.743
Th  0.371  0.000  0.257

Calculated values
As for the formation energy: 0.13 eV per atom. The volume comes out at 149.8 Å³ per cell. As for the density of states at the Fermi level: 4.4 states/eV/f.u. For the density, the calculation gives 12.03 g/cm3.


No. 12
LaHSe after structural relaxation, computed with GGA-PBE.

Lattice parameters (Å, degrees): 4.100 4.100 14.178 90.00 90.00 90.00
Positions (direct):
La  0.000  0.000  0.305
La  0.000  0.500  0.555
La  0.500  0.500  0.805
La  0.500  0.000  0.055
H  0.000  0.000  0.470
H  0.000  0.500  0.720
H  0.500  0.500  0.970
H  0.500  0.000  0.220
Se  0.000  0.000  0.888
Se  0.000  0.500  0.138
Se  0.500  0.500  0.388
Se  0.500  0.000  0.638

Calculated values
The value obtained for the total energy is -16.305 eV/f.u. The volume comes out at 238.4 Å³ per cell. As for the density of states at the Fermi level: 0.0 states/eV/f.u. For the density, the calculation gives 6.10 g/cm3.


No. 13
CdAgMo2 after structural relaxation, computed with GGA-PBE.

Lattice parameters (Å, degrees): 2.704 4.314 5.964 90.00 90.00 90.00
Positions (direct):
Ag  0.000  0.000  0.503
Cd  0.500  0.500  0.743
Mo  0.000  0.000  0.023
Mo  0.500  0.500  0.231

Calculated values
As for the formation energy: 0.43 eV per atom. The volume comes out at 69.6 Å³ per cell. As for the density of states at the Fermi level: 3.2 states/eV/f.u. For the density, the calculation gives 9.84 g/cm3.


No. 14
AlTeW2 after structural relaxation, computed with GGA-PBE.

Lattice parameters (Å, degrees): 8.951 8.951 8.951 19.57 19.57 19.57
Positions (direct):
Te  0.750  0.750  0.750
Al  0.250  0.250  0.250
W  0.000  0.000  0.000
W  0.500  0.500  0.500

Calculated values
The volume comes out at 70.4 Å³ per cell. As for the density of states at the Fermi level: 4.4 states/eV/f.u. For the density, the calculation gives 12.33 g/cm3. The uncorrected formation energy comes out at 0.639 eV/atom.


No. 15
BeZn2Hg after structural relaxation, computed with GGA-PBE.

Lattice parameters (Å, degrees): 4.014 4.014 9.102 77.26 77.26 90.00
Positions (direct):
Be  0.500  0.500  0.000
Be  0.250  0.750  0.500
Zn  0.566  0.125  0.250
Zn  0.184  0.625  0.250
Zn  0.375  0.434  0.750
Zn  0.875  0.816  0.750
Hg  0.000  0.000  0.000
Hg  0.750  0.250  0.500

Calculated values
As for the formation energy: 0.35 eV per atom. The volume comes out at 139.3 Å³ per cell. As for the density of states at the Fermi level: 1.3 states/eV/f.u. For the density, the calculation gives 8.12 g/cm3.


No. 16
CaMg2Sc after structural relaxation, computed with GGA-PBE.

Lattice parameters (Å, degrees): 3.427 3.427 9.264 90.00 90.00 90.01
Positions (direct):
Ca  0.500  0.500  0.758
Mg  0.000  0.000  0.033
Mg  0.500  0.500  0.245
Sc  0.000  0.000  0.465

Calculated values
As for the formation energy: 0.04 eV per atom. The volume comes out at 108.8 Å³ per cell. As for the density of states at the Fermi level: 4.8 states/eV/f.u. For the density, the calculation gives 2.04 g/cm3.


No. 17
Ta2TiNi after structural relaxation, computed with GGA-PBE.

Lattice parameters (Å, degrees): 4.467 4.467 4.467 60.00 60.00 60.00
Positions (direct):
Ni  0.500  0.500  0.500
Ti  0.000  0.000  0.000
Ta  0.250  0.250  0.250
Ta  0.750  0.750  0.750

Calculated values
As for the formation energy: 0.06 eV per atom. The volume comes out at 63.0 Å³ per cell. As for the density of states at the Fermi level: 2.8 states/eV/f.u. For the density, the calculation gives 12.34 g/cm3.


No. 18
Ta3Br5 after structural relaxation, computed with GGA-PBE.

Lattice parameters (Å, degrees): 11.474 11.969 7.640 96.14 92.60 154.26
Positions (direct):
Br  0.043  0.668  0.500
Br  0.964  0.326  0.500
Br  0.768  0.016  0.830
Br  0.353  0.035  0.215
Br  0.718  0.598  0.173
Br  0.338  0.386  0.694
Br  0.638  0.320  0.785
Br  0.438  0.685  0.170
Br  0.144  0.192  0.306
Br  0.045  0.925  0.827
Ta  0.738  0.799  0.996
Ta  0.242  0.303  0.004
Ta  0.196  0.001  0.500
Ta  0.407  0.832  0.500
Ta  0.280  0.758  0.100
Ta  0.681  0.158  0.900

Calculated values
The volume comes out at 427.9 Å³ per cell. As for the density of states at the Fermi level: 4.5 states/eV/f.u. For the density, the calculation gives 7.31 g/cm3. The uncorrected formation energy comes out at 0.207 eV/atom.


No. 19
Ac6RuAu2 after structural relaxation, computed with GGA-PBE.

Lattice parameters (Å, degrees): 7.378 8.011 11.201 90.00 94.43 90.00
Positions (direct):
Ac  0.850  0.959  0.252
Ac  0.832  0.687  0.572
Ac  0.815  0.689  0.937
Ac  0.685  0.189  0.563
Ac  0.668  0.187  0.928
Ac  0.650  0.459  0.248
Ac  0.150  0.041  0.748
Ac  0.168  0.313  0.428
Ac  0.185  0.311  0.063
Ac  0.315  0.811  0.437
Ac  0.332  0.813  0.072
Ac  0.350  0.541  0.752
Ru  0.500  0.500  0.000
Ru  0.000  0.000  0.500
Au  0.944  0.391  0.772
Au  0.556  0.891  0.728
Au  0.444  0.109  0.272
Au  0.056  0.609  0.228

Calculated values
As for the formation energy: -0.44 eV per atom. The volume comes out at 660.0 Å³ per cell. As for the density of states at the Fermi level: 9.8 states/eV/f.u. For the density, the calculation gives 9.34 g/cm3.


No. 20
ScSnRu2Au after structural relaxation, computed with GGA-PBE.

Lattice parameters (Å, degrees): 4.655 5.040 4.655 90.00 90.00 90.00
Positions (direct):
Sc  0.000  0.000  0.000
Ru  0.000  0.000  0.500
Ru  0.500  0.000  0.000
Au  0.000  0.500  0.000
Sn  0.500  0.500  0.500

Calculated values
As for the formation energy: 1.00 eV per atom. The volume comes out at 109.2 Å³ per cell. As for the density of states at the Fermi level: 5.8 states/eV/f.u. For the density, the calculation gives 8.56 g/cm3.


No. 21
CaNbPbO6 after structural relaxation, computed with GGA-PBE.

Lattice parameters (Å, degrees): 5.603 5.603 9.778 90.00 90.00 120.00
Positions (direct):
Ca  0.000  0.000  0.000
Ca  0.000  0.000  0.500
Nb  0.667  0.333  0.250
Nb  0.333  0.667  0.750
Pb  0.333  0.667  0.250
Pb  0.667  0.333  0.750
O  0.652  0.627  0.136
O  0.975  0.348  0.136
O  0.348  0.975  0.636
O  0.025  0.652  0.864
O  0.373  0.348  0.364
O  0.975  0.627  0.364
O  0.627  0.975  0.864
O  0.652  0.025  0.364
O  0.025  0.373  0.636
O  0.373  0.025  0.136
O  0.627  0.652  0.636
O  0.348  0.373  0.864

Calculated values
The volume comes out at 265.8 Å³ per cell. As for the density of states at the Fermi level: 5.8 states/eV/f.u. For the density, the calculation gives 5.45 g/cm3. The uncorrected formation energy comes out at -1.818 eV/atom.